Below is a relaxed structure of MoAsPdCl2, with properties calculated at the PBE level.

Size of the total moment, μB/f.u.: 0.7
N(E_F), states/eV/atom: 0.826
Formation energy (no corrections), eV/f.u.: 2.5
Total energy, eV per cell: -21.8

Lattice parameters (Å, degrees): 4.521 4.521 5.498 90.00 90.00 90.00
Sites, in units of the cell vectors:
Mo1 0.000 0.000 0.000
As1 0.500 0.500 0.500
Pd1 0.000 0.000 0.500
Cl1 0.000 0.500 0.000
Cl2 0.500 0.000 0.000

***

Below is a relaxed structure of Sr2LiHPd, with properties calculated at the PBE level.

Excess energy over the best structure of this formula in the dataset, kJ/mol of atoms: 0.00
Size of the total moment, μB/f.u.: 0.0
N(E_F), states/eV/atom: 0.179
Total energy, eV per cell: -31.5

Lattice parameters (Å, degrees): 6.989 4.230 8.425 90.00 109.55 90.00
Sites, in units of the cell vectors:
Sr1 0.185 0.250 0.414
Sr2 0.231 0.250 0.947
Sr3 0.769 0.750 0.053
Sr4 0.815 0.750 0.586
Li1 0.434 0.750 0.255
Li2 0.566 0.250 0.745
H1 0.154 0.750 0.137
H2 0.846 0.250 0.863
Pd1 0.333 0.750 0.707
Pd2 0.667 0.250 0.293

***

Below is a relaxed structure of AcCd4Pd2, with properties calculated at the PBE level.

Energy of formation, eV per atom: -0.4846
Excess energy over the best structure of this formula in the dataset, kJ/mol of atoms: 0.00
Size of the total moment, μB/f.u.: 0.0
N(E_F), states/eV/atom: 0.397
Total energy, eV per cell: -43.1

Lattice parameters (Å, degrees): 8.374 8.374 4.529 90.00 90.00 90.00
Sites, in units of the cell vectors:
Ac1 0.000 0.000 0.000
Ac2 0.500 0.500 0.500
Cd1 0.093 0.344 0.500
Cd2 0.156 0.593 0.000
Cd3 0.344 0.093 0.500
Cd4 0.407 0.844 0.000
Cd5 0.593 0.156 0.000
Cd6 0.656 0.907 0.500
Cd7 0.844 0.407 0.000
Cd8 0.907 0.656 0.500
Pd1 0.214 0.786 0.500
Pd2 0.286 0.286 0.000
Pd3 0.714 0.714 0.000
Pd4 0.786 0.214 0.500